Entry 1:
# Dy5YEr5 PBE optimized geometry
# - Distance to the lowest polymorph of the same formula: 174 meV/atom
# - Raw total energy: -48.7 eV per cell
# - DOS(E_F): 1.934 states/eV/atom
# - Total magnetization: 0.00 μB per cell
# - Formation energy: 3.544 eV per formula unit
data_Dy5YEr5
_chemical_formula_sum 'Dy5 Y1 Er5'
_cell_length_a 6.0183
_cell_length_b 6.0183
_cell_length_c 11.5294
_cell_angle_alpha 90.00
_cell_angle_beta 90.00
_cell_angle_gamma 120.00
_space_group_name_H-M_alt 'P -6 m 2'
_space_group_IT_number 187
_space_group_name_Hall 'P -6 2'
loop_
_atom_site_label
_atom_site_type_symbol
_atom_site_fract_x
_atom_site_fract_y
_atom_site_fract_z
_atom_site_occupancy
Dy1 Dy 0.0000 0.0000 0.0000 1
Dy2 Dy 0.3333 0.6667 0.3181 1
Dy3 Dy 0.6667 0.3333 0.1559 1
Y1 Y 0.3333 0.6667 0.0000 1
Er1 Er 0.0000 0.0000 0.2649 1
Er2 Er 0.3349 0.1674 0.5000 1

Entry 2:
# Mg2TaSe PBE optimized geometry
# - Raw total energy: -17.7 eV per cell
# - Uncorrected formation energy: 0.20 eV/atom
# - DOS(E_F): 0.786 states/eV/atom
# - Total magnetization: 0.00 μB per cell
data_Mg2TaSe
_chemical_formula_sum 'Mg2 Ta1 Se1'
_cell_length_a 3.258
_cell_length_b 4.641
_cell_length_c 5.015
_cell_angle_alpha 90.00
_cell_angle_beta 90.00
_cell_angle_gamma 90.00
_space_group_name_H-M_alt 'P m m m'
_space_group_IT_number 47
_space_group_name_Hall '-P 2 2'
loop_
_atom_site_label
_atom_site_type_symbol
_atom_site_fract_x
_atom_site_fract_y
_atom_site_fract_z
_atom_site_occupancy
Mg1 Mg 0.000 0.000 0.000 1
Mg2 Mg 0.500 0.500 0.000 1
Ta1 Ta 0.000 0.500 0.500 1
Se1 Se 0.500 0.000 0.500 1

Entry 3:
# Be2CuTc PBE optimized geometry
# - Distance to the lowest polymorph of the same formula: 113 meV/atom
# - Raw total energy: -22.1 eV per cell
# - DOS(E_F): 0.657 states/eV/atom
# - Total magnetization: 0.00 μB per cell
# - Formation energy: -0.136 eV per formula unit
data_Be2CuTc
_chemical_formula_sum 'Be2 Cu1 Tc1'
_cell_length_a 2.586
_cell_length_b 3.769
_cell_length_c 4.589
_cell_angle_alpha 90.00
_cell_angle_beta 106.08
_cell_angle_gamma 90.00
_space_group_name_H-M_alt 'P 1 m 1'
_space_group_IT_number 6
_space_group_name_Hall 'P -2y'
loop_
_atom_site_label
_atom_site_type_symbol
_atom_site_fract_x
_atom_site_fract_y
_atom_site_fract_z
_atom_site_occupancy
Be1 Be 0.000 0.000 0.000 1
Be2 Be 0.141 0.500 0.291 1
Cu1 Cu 0.727 0.000 0.459 1
Tc1 Tc 0.409 0.500 0.817 1

Entry 4:
# RbGaO2 PBE optimized geometry
# - Raw total energy: -57.9 eV per cell
# - Uncorrected formation energy: -1.35 eV/atom
# - DOS(E_F): 0.000 states/eV/atom
# - Total magnetization: 0.00 μB per cell
data_RbGaO2
_chemical_formula_sum 'Rb3 Ga3 O6'
_cell_length_a 3.3538
_cell_length_b 3.3538
_cell_length_c 21.4318
_cell_angle_alpha 90.00
_cell_angle_beta 90.00
_cell_angle_gamma 120.00
_space_group_name_H-M_alt 'R 3 m'
_space_group_IT_number 160
_space_group_name_Hall 'R 3 -2"'
loop_
_atom_site_label
_atom_site_type_symbol
_atom_site_fract_x
_atom_site_fract_y
_atom_site_fract_z
_atom_site_occupancy
Rb1 Rb 0.0000 0.0000 0.0000 1
Ga1 Ga 0.0000 0.0000 0.4913 1
O1 O 0.0000 0.0000 0.4102 1
O2 O 0.0000 0.0000 0.8589 1

Entry 5:
# Ti3MoPt PBE optimized geometry
# - Distance to the lowest polymorph of the same formula: 1322 meV/atom
# - Raw total energy: -36.6 eV per cell
# - DOS(E_F): 2.174 states/eV/atom
# - Total magnetization: 0.00 μB per cell
# - Formation energy: 3.912 eV per formula unit
data_Ti3MoPt
_chemical_formula_sum 'Ti3 Mo1 Pt1'
_cell_length_a 4.714
_cell_length_b 4.714
_cell_length_c 4.714
_cell_angle_alpha 90.00
_cell_angle_beta 90.00
_cell_angle_gamma 90.00
_space_group_name_H-M_alt 'P m -3 m'
_space_group_IT_number 221
_space_group_name_Hall '-P 4 2 3'
loop_
_atom_site_label
_atom_site_type_symbol
_atom_site_fract_x
_atom_site_fract_y
_atom_site_fract_z
_atom_site_occupancy
Ti1 Ti 0.000 0.000 0.500 1
Mo1 Mo 0.500 0.500 0.500 1
Pt1 Pt 0.000 0.000 0.000 1

Entry 6:
# ErIn2PbSe4 PBE optimized geometry
# - Raw total energy: -34.5 eV per cell
# - Uncorrected formation energy: -0.86 eV/atom
# - DOS(E_F): 0.416 states/eV/atom
# - Total magnetization: 0.00 μB per cell
data_ErIn2PbSe4
_chemical_formula_sum 'Er1 In2 Pb1 Se4'
_cell_length_a 7.544
_cell_length_b 4.161
_cell_length_c 7.575
_cell_angle_alpha 90.00
_cell_angle_beta 108.26
_cell_angle_gamma 90.00
_space_group_name_H-M_alt 'P 1 2/m 1'
_space_group_IT_number 10
_space_group_name_Hall '-P 2y'
loop_
_atom_site_label
_atom_site_type_symbol
_atom_site_fract_x
_atom_site_fract_y
_atom_site_fract_z
_atom_site_occupancy
Er1 Er 0.000 0.000 0.000 1
In1 In 0.500 0.000 0.500 1
In2 In 0.500 0.500 0.000 1
Pb1 Pb 0.000 0.500 0.500 1
Se1 Se 0.225 0.500 0.218 1
Se2 Se 0.244 0.000 0.774 1

Entry 7:
# NdYGaAu PBE optimized geometry
# - Distance to the lowest polymorph of the same formula: 0 meV/atom
# - Raw total energy: -40.6 eV per cell
# - DOS(E_F): 0.927 states/eV/atom
# - Total magnetization: 0.00 μB per cell
# - Formation energy: -2.787 eV per formula unit
data_NdYGaAu
_chemical_formula_sum 'Nd2 Y2 Ga2 Au2'
_cell_length_a 4.556
_cell_length_b 3.900
_cell_length_c 11.385
_cell_angle_alpha 90.00
_cell_angle_beta 90.00
_cell_angle_gamma 90.00
_space_group_name_H-M_alt 'A m m 2'
_space_group_IT_number 38
_space_group_name_Hall 'A 2 -2'
loop_
_atom_site_label
_atom_site_type_symbol
_atom_site_fract_x
_atom_site_fract_y
_atom_site_fract_z
_atom_site_occupancy
Nd1 Nd 0.000 0.000 0.000 1
Y1 Y 0.500 0.000 0.716 1
Ga1 Ga 0.500 0.000 0.432 1
Au1 Au 0.000 0.000 0.275 1

Entry 8:
# YFeBr2 PBE optimized geometry
# - Distance to the lowest polymorph of the same formula: 269 meV/atom
# - Raw total energy: -39.1 eV per cell
# - Uncorrected formation energy: -0.32 eV/atom
# - DOS(E_F): 0.476 states/eV/atom
# - Total magnetization: 6.01 μB per cell
data_YFeBr2
_chemical_formula_sum 'Y2 Fe2 Br4'
_cell_length_a 3.481
_cell_length_b 5.402
_cell_length_c 10.229
_cell_angle_alpha 90.00
_cell_angle_beta 90.00
_cell_angle_gamma 90.00
_space_group_name_H-M_alt 'I m m 2'
_space_group_IT_number 44
_space_group_name_Hall 'I 2 -2'
loop_
_atom_site_label
_atom_site_type_symbol
_atom_site_fract_x
_atom_site_fract_y
_atom_site_fract_z
_atom_site_occupancy
Y1 Y 0.000 0.000 0.000 1
Fe1 Fe 0.000 0.500 0.265 1
Br1 Br 0.000 0.000 0.546 1
Br2 Br 0.000 0.500 0.741 1

Entry 9:
# SrAcTb PBE optimized geometry
# - Distance to the lowest polymorph of the same formula: 204 meV/atom
# - Raw total energy: -19.0 eV per cell
# - DOS(E_F): 1.680 states/eV/atom
# - Total magnetization: 0.00 μB per cell
# - Formation energy: 0.908 eV per formula unit
data_SrAcTb
_chemical_formula_sum 'Sr2 Ac2 Tb2'
_cell_length_a 5.298
_cell_length_b 5.298
_cell_length_c 9.563
_cell_angle_alpha 90.00
_cell_angle_beta 90.00
_cell_angle_gamma 90.00
_space_group_name_H-M_alt 'P 4/n m m'
_space_group_IT_number 129
loop_
_space_group_symop_operation_xyz
'x,y,z'
'-x,-y,-z'
'-y+1/2,x,z'
'y+1/2,-x,-z'
'-x+1/2,-y+1/2,z'
'x+1/2,y+1/2,-z'
'y,-x+1/2,z'
'-y,x+1/2,-z'
'x+1/2,-y,-z'
'-x+1/2,y,z'
'-y,-x,-z'
'y,x,z'
'-x,y+1/2,-z'
'x,-y+1/2,z'
'y+1/2,x+1/2,-z'
'-y+1/2,-x+1/2,z'
loop_
_atom_site_label
_atom_site_type_symbol
_atom_site_fract_x
_atom_site_fract_y
_atom_site_fract_z
_atom_site_occupancy
Sr1 Sr 0.250 0.250 0.160 1
Ac1 Ac 0.250 0.750 0.500 1
Tb1 Tb 0.250 0.250 0.765 1

Entry 10:
# Ti2AlNi3 PBE optimized geometry
# - Raw total energy: -39.6 eV per cell
# - DOS(E_F): 1.137 states/eV/atom
# - Total magnetization: 0.00 μB per cell
# - Formation energy: -2.763 eV per formula unit
data_Ti2AlNi3
_chemical_formula_sum 'Ti2 Al1 Ni3'
_cell_length_a 2.940
_cell_length_b 2.940
_cell_length_c 9.132
_cell_angle_alpha 90.00
_cell_angle_beta 90.00
_cell_angle_gamma 90.00
_space_group_name_H-M_alt 'P 4/m m m'
_space_group_IT_number 123
_space_group_name_Hall '-P 4 2'
loop_
_atom_site_label
_atom_site_type_symbol
_atom_site_fract_x
_atom_site_fract_y
_atom_site_fract_z
_atom_site_occupancy
Ti1 Ti 0.000 0.000 0.172 1
Al1 Al 0.000 0.000 0.500 1
Ni1 Ni 0.500 0.500 0.000 1
Ni2 Ni 0.500 0.500 0.341 1

Entry 11:
# Hf6Ga3Ge PBE optimized geometry
# - Raw total energy: -152.0 eV per cell
# - DOS(E_F): 0.691 states/eV/atom
# - Total magnetization: 0.00 μB per cell
# - Formation energy: -2.563 eV per formula unit
data_Hf6Ga3Ge
_chemical_formula_sum 'Hf12 Ga6 Ge2'
_cell_length_a 6.761
_cell_length_b 7.147
_cell_length_c 10.821
_cell_angle_alpha 90.00
_cell_angle_beta 127.54
_cell_angle_gamma 90.00
_space_group_name_H-M_alt 'P 1 21/c 1'
_space_group_IT_number 14
_space_group_name_Hall '-P 2ybc'
loop_
_atom_site_label
_atom_site_type_symbol
_atom_site_fract_x
_atom_site_fract_y
_atom_site_fract_z
_atom_site_occupancy
Hf1 Hf 0.014 0.066 0.251 1
Hf2 Hf 0.201 0.665 0.060 1
Hf3 Hf 0.411 0.159 0.061 1
Ga1 Ga 0.316 0.156 0.755 1
Ga2 Ga 0.500 0.000 0.500 1
Ge1 Ge 0.000 0.000 0.000 1

Entry 12:
# TiGaP2S PBE optimized geometry
# - Distance to the lowest polymorph of the same formula: 638 meV/atom
# - Raw total energy: -22.6 eV per cell
# - Uncorrected formation energy: 0.65 eV/atom
# - DOS(E_F): 1.134 states/eV/atom
# - Total magnetization: 1.30 μB per cell
data_TiGaP2S
_chemical_formula_sum 'Ti1 Ga1 P2 S1'
_cell_length_a 4.599
_cell_length_b 4.599
_cell_length_c 4.726
_cell_angle_alpha 90.00
_cell_angle_beta 90.00
_cell_angle_gamma 90.00
_space_group_name_H-M_alt 'P 4/m m m'
_space_group_IT_number 123
_space_group_name_Hall '-P 4 2'
loop_
_atom_site_label
_atom_site_type_symbol
_atom_site_fract_x
_atom_site_fract_y
_atom_site_fract_z
_atom_site_occupancy
Ti1 Ti 0.000 0.000 0.000 1
Ga1 Ga 0.500 0.500 0.500 1
P1 P 0.000 0.500 0.500 1
S1 S 0.500 0.500 0.000 1

Entry 13:
# TlNi2P2 PBE optimized geometry
# - Distance to the lowest polymorph of the same formula: 219 meV/atom
# - Raw total energy: -49.8 eV per cell
# - DOS(E_F): 0.417 states/eV/atom
# - Total magnetization: 0.00 μB per cell
# - Formation energy: -0.141 eV per formula unit
data_TlNi2P2
_chemical_formula_sum 'Tl2 Ni4 P4'
_cell_length_a 3.986
_cell_length_b 3.986
_cell_length_c 11.232
_cell_angle_alpha 90.00
_cell_angle_beta 90.00
_cell_angle_gamma 90.00
_space_group_name_H-M_alt 'I 4/m m m'
_space_group_IT_number 139
_space_group_name_Hall '-I 4 2'
loop_
_atom_site_label
_atom_site_type_symbol
_atom_site_fract_x
_atom_site_fract_y
_atom_site_fract_z
_atom_site_occupancy
Tl1 Tl 0.000 0.000 0.000 1
Ni1 Ni 0.000 0.000 0.342 1
P1 P 0.000 0.500 0.250 1